# 1
Material: SmNiBi
Method: DFT, GGA-PBE
State: optimized geometry Values from VASP.

```
&SYSTEM
  ibrav = 0, nat = 3, ntyp = 3
/
ATOMIC_SPECIES
Ni 58.69 Ni.upf
Bi 208.98 Bi.upf
Sm 150.36 Sm.upf
CELL_PARAMETERS angstrom
4.652 0.000 0.000
2.326 4.029 0.000
2.326 1.343 3.798
ATOMIC_POSITIONS crystal
Ni 0.250 0.250 0.250
Bi 0.000 0.000 0.000
Sm 0.500 0.500 0.500
```

Computed properties:
symmetry = No. 216
energy relative to the elements = -670 meV/atom

---

# 2
Material: Ac3MgZn2Cu6
Method: DFT, GGA-PBE
State: optimized geometry Values from VASP.

```
&SYSTEM
  ibrav = 0, nat = 12, ntyp = 4
/
ATOMIC_SPECIES
Ac 227.00 Ac.upf
Mg 24.30 Mg.upf
Zn 65.41 Zn.upf
Cu 63.55 Cu.upf
CELL_PARAMETERS angstrom
6.065 0.000 0.000
-3.033 5.252 0.000
0.000 0.000 8.497
ATOMIC_POSITIONS crystal
Ac 0.333 0.667 0.630
Ac 0.667 0.333 0.370
Ac 0.000 0.000 0.000
Mg 0.000 0.000 0.500
Zn 0.667 0.333 0.975
Zn 0.333 0.667 0.025
Cu 0.608 0.804 0.279
Cu 0.196 0.392 0.279
Cu 0.196 0.804 0.279
Cu 0.804 0.608 0.721
Cu 0.392 0.196 0.721
Cu 0.804 0.196 0.721
```

Computed properties:
symmetry = No. 164
energy relative to the elements = -35 meV/atom

---

# 3
Material: YPu3Cu8
Method: DFT, GGA-PBE
State: optimized geometry Values from VASP.

```
&SYSTEM
  ibrav = 0, nat = 12, ntyp = 3
/
ATOMIC_SPECIES
Y 88.91 Y.upf
Pu 244.00 Pu.upf
Cu 63.55 Cu.upf
CELL_PARAMETERS angstrom
-0.770 -3.482 -3.848
4.353 2.928 0.056
3.954 -5.966 4.606
ATOMIC_POSITIONS crystal
Y 0.000 0.000 0.560
Pu 0.667 0.333 0.434
Pu 0.667 0.333 0.053
Pu 0.000 0.000 0.951
Cu 0.333 0.667 0.501
Cu 0.333 0.667 0.001
Cu 0.499 0.998 0.748
Cu 0.499 0.501 0.748
Cu 0.002 0.501 0.748
Cu 0.169 0.337 0.253
Cu 0.169 0.831 0.253
Cu 0.663 0.831 0.253
```

Computed properties:
symmetry = No. 156
energy relative to the elements = -74 meV/atom

---

# 4
Material: LiHgB2
Method: DFT, GGA-PBE
State: optimized geometry Values from VASP.

```
&SYSTEM
  ibrav = 0, nat = 8, ntyp = 3
/
ATOMIC_SPECIES
B 10.81 B.upf
Hg 200.59 Hg.upf
Li 6.94 Li.upf
CELL_PARAMETERS angstrom
-1.229 3.083 -0.917
-1.288 0.428 3.165
6.881 5.822 3.886
ATOMIC_POSITIONS crystal
B 0.875 0.125 0.250
B 0.875 0.625 0.250
B 0.375 0.125 0.750
B 0.875 0.125 0.750
Hg 0.000 0.000 0.000
Hg 0.750 0.250 0.500
Li 0.500 0.500 0.000
Li 0.250 0.750 0.500
```

Computed properties:
symmetry = No. 141
energy relative to the elements = 680 meV/atom

---

# 5
Material: MnRePdSe
Method: DFT, GGA-PBE
State: optimized geometry Values from VASP.

```
&SYSTEM
  ibrav = 0, nat = 8, ntyp = 4
/
ATOMIC_SPECIES
Mn 54.94 Mn.upf
Re 186.21 Re.upf
Pd 106.42 Pd.upf
Se 78.96 Se.upf
CELL_PARAMETERS angstrom
3.168 0.000 0.000
0.000 3.049 0.000
0.000 0.000 13.780
ATOMIC_POSITIONS crystal
Mn 0.000 0.500 0.780
Mn 0.500 0.000 0.280
Re 0.000 0.500 0.380
Re 0.500 0.000 0.880
Pd 0.000 0.500 0.170
Pd 0.500 0.000 0.670
Se 0.000 0.000 0.520
Se 0.500 0.500 0.020
```

Computed properties:
relative energy among the computed polymorphs = 16 meV per atom
symmetry = No. 44
ΔE_f (raw) = 0.090 eV/atom

---

# 6
Material: SrCu3Pd4O12
Method: DFT, GGA-PBE
State: optimized geometry Values from VASP.

```
&SYSTEM
  ibrav = 0, nat = 20, ntyp = 4
/
ATOMIC_SPECIES
Sr 87.62 Sr.upf
Cu 63.55 Cu.upf
Pd 106.42 Pd.upf
O 16.00 O.upf
CELL_PARAMETERS angstrom
6.595 0.000 0.000
-2.198 6.217 0.000
-2.198 -3.109 5.385
ATOMIC_POSITIONS crystal
Sr 0.000 0.000 0.000
Cu 0.000 0.500 0.500
Cu 0.500 0.500 0.000
Cu 0.500 0.000 0.500
Pd 0.500 0.000 0.000
Pd 0.500 0.500 0.500
Pd 0.000 0.500 0.000
Pd 0.000 0.000 0.500
O 0.315 0.833 0.148
O 0.685 0.167 0.852
O 0.685 0.833 0.518
O 0.852 0.685 0.167
O 0.833 0.148 0.315
O 0.167 0.482 0.315
O 0.482 0.315 0.167
O 0.167 0.852 0.685
O 0.315 0.167 0.482
O 0.148 0.315 0.833
O 0.833 0.518 0.685
O 0.518 0.685 0.833
```

Computed properties:
symmetry = No. 204
ΔE_f (raw) = -0.681 eV/atom

---

# 7
Material: TlIr
Method: DFT, GGA-PBE
State: optimized geometry Values from VASP.

```
&SYSTEM
  ibrav = 0, nat = 16, ntyp = 2
/
ATOMIC_SPECIES
Tl 204.38 Tl.upf
Ir 192.22 Ir.upf
CELL_PARAMETERS angstrom
-5.590 -3.145 -9.014
-8.529 -3.048 6.352
-1.133 2.684 -0.234
ATOMIC_POSITIONS crystal
Tl 0.733 0.435 0.500
Tl 0.267 0.565 0.500
Tl 0.565 0.733 0.500
Tl 0.435 0.267 0.500
Tl 0.799 0.919 0.000
Tl 0.201 0.081 0.000
Tl 0.081 0.799 0.000
Tl 0.919 0.201 0.000
Ir 0.956 0.600 0.500
Ir 0.044 0.400 0.500
Ir 0.400 0.956 0.500
Ir 0.600 0.044 0.500
Ir 0.770 0.653 0.000
Ir 0.230 0.347 0.000
Ir 0.347 0.770 0.000
Ir 0.653 0.230 0.000
```

Computed properties:
symmetry = No. 83
energy relative to the elements = 455 meV/atom

---

# 8
Material: P3IrPd
Method: DFT, GGA-PBE
State: optimized geometry Values from VASP.

```
&SYSTEM
  ibrav = 0, nat = 5, ntyp = 3
/
ATOMIC_SPECIES
P 30.97 P.upf
Ir 192.22 Ir.upf
Pd 106.42 Pd.upf
CELL_PARAMETERS angstrom
-0.651 -2.278 3.936
4.398 -1.328 -0.041
1.159 3.762 2.369
ATOMIC_POSITIONS crystal
P 0.000 0.500 0.000
P 0.000 0.000 0.500
P 0.500 0.000 0.000
Ir 0.000 0.000 0.000
Pd 0.500 0.500 0.500
```

Computed properties:
relative energy among the computed polymorphs = 0 meV per atom
symmetry = No. 221
energy relative to the elements = 825 meV/atom

---

# 9
Material: Y3PuPa2P6
Method: DFT, GGA-PBE
State: optimized geometry Values from VASP.

```
&SYSTEM
  ibrav = 0, nat = 12, ntyp = 4
/
ATOMIC_SPECIES
Y 88.91 Y.upf
Pu 244.00 Pu.upf
Pa 231.04 Pa.upf
P 30.97 P.upf
CELL_PARAMETERS angstrom
6.922 0.000 0.000
-3.460 5.996 0.000
-1.155 -2.000 6.512
ATOMIC_POSITIONS crystal
Y 0.166 0.834 0.500
Y 0.834 0.166 0.500
Y 0.500 0.500 0.500
Pu 0.000 0.000 0.000
Pa 0.333 0.667 0.000
Pa 0.667 0.333 0.000
P 0.918 0.582 0.755
P 0.745 0.745 0.246
P 0.082 0.418 0.245
P 0.582 0.918 0.755
P 0.255 0.255 0.754
P 0.418 0.082 0.245
```

Computed properties:
symmetry = No. 12
energy relative to the elements = -1453 meV/atom

---

# 10
Material: BaPr2SiN4
Method: DFT, GGA-PBE
State: optimized geometry Values from VASP.

```
&SYSTEM
  ibrav = 0, nat = 16, ntyp = 4
/
ATOMIC_SPECIES
Ba 137.33 Ba.upf
Pr 140.91 Pr.upf
Si 28.09 Si.upf
N 14.01 N.upf
CELL_PARAMETERS angstrom
-2.407 -0.951 2.411
5.292 -3.728 1.219
4.238 8.495 7.581
ATOMIC_POSITIONS crystal
Ba 0.089 0.179 0.750
Ba 0.911 0.821 0.250
Pr 0.368 0.736 0.541
Pr 0.632 0.264 0.041
Pr 0.632 0.264 0.459
Pr 0.368 0.736 0.959
Si 0.810 0.620 0.750
Si 0.190 0.380 0.250
N 0.260 0.521 0.128
N 0.740 0.479 0.628
N 0.740 0.479 0.872
N 0.260 0.521 0.372
N 0.000 0.000 0.500
N 0.000 0.000 0.000
N 0.386 0.773 0.750
N 0.614 0.227 0.250
```

Computed properties:
symmetry = No. 63
ΔE_f (raw) = -1.065 eV/atom

---

# 11
Material: Na3Nd2ScSe6
Method: DFT, GGA-PBE
State: optimized geometry Values from VASP.

```
&SYSTEM
  ibrav = 0, nat = 12, ntyp = 4
/
ATOMIC_SPECIES
Na 22.99 Na.upf
Nd 144.24 Nd.upf
Sc 44.96 Sc.upf
Se 78.96 Se.upf
CELL_PARAMETERS angstrom
-5.825 -0.043 -4.290
1.138 -5.454 4.615
-2.077 5.242 4.810
ATOMIC_POSITIONS crystal
Na 0.168 0.832 0.500
Na 0.832 0.168 0.500
Na 0.500 0.500 0.500
Nd 0.334 0.666 0.000
Nd 0.666 0.334 0.000
Sc 0.000 0.000 0.000
Se 0.923 0.609 0.770
Se 0.763 0.763 0.228
Se 0.077 0.391 0.230
Se 0.609 0.923 0.770
Se 0.237 0.237 0.772
Se 0.391 0.077 0.230
```

Computed properties:
symmetry = No. 12
ΔE_f (raw) = -1.637 eV/atom

---

# 12
Material: Li3BMo
Method: DFT, GGA-PBE
State: optimized geometry Values from VASP.

```
&SYSTEM
  ibrav = 0, nat = 5, ntyp = 3
/
ATOMIC_SPECIES
Mo 95.94 Mo.upf
B 10.81 B.upf
Li 6.94 Li.upf
CELL_PARAMETERS angstrom
-2.409 -3.118 -0.038
2.979 -2.316 1.136
-0.921 0.666 3.773
ATOMIC_POSITIONS crystal
Mo 0.500 0.500 0.500
B 0.000 0.000 0.000
Li 0.000 0.500 0.000
Li 0.000 0.000 0.500
Li 0.500 0.000 0.000
```

Computed properties:
relative energy among the computed polymorphs = 0 meV per atom
symmetry = No. 221
energy relative to the elements = 1080 meV/atom

---

# 13
Material: Ac2Tb4Tm7
Method: DFT, GGA-PBE
State: optimized geometry Values from VASP.

```
&SYSTEM
  ibrav = 0, nat = 13, ntyp = 3
/
ATOMIC_SPECIES
Ac 227.00 Ac.upf
Tb 158.93 Tb.upf
Tm 168.93 Tm.upf
CELL_PARAMETERS angstrom
6.122 0.000 0.000
-3.061 5.302 0.000
0.000 0.000 13.455
ATOMIC_POSITIONS crystal
Ac 0.667 0.333 0.000
Ac 0.333 0.667 0.000
Tb 0.000 0.000 0.604
Tb 0.000 0.000 0.396
Tb 0.667 0.333 0.500
Tb 0.333 0.667 0.500
Tm 0.000 0.348 0.782
Tm 0.000 0.652 0.218
Tm 0.000 0.000 0.000
Tm 0.348 0.000 0.782
Tm 0.652 0.000 0.218
Tm 0.348 0.348 0.218
Tm 0.652 0.652 0.782
```

Computed properties:
symmetry = No. 162
energy relative to the elements = 235 meV/atom

---

# 14
Material: Ca4As2Br3
Method: DFT, GGA-PBE
State: optimized geometry Values from VASP.

```
&SYSTEM
  ibrav = 0, nat = 9, ntyp = 3
/
ATOMIC_SPECIES
Ca 40.08 Ca.upf
As 74.92 As.upf
Br 79.90 Br.upf
CELL_PARAMETERS angstrom
-3.725 -0.433 1.947
1.405 -3.042 -2.575
8.240 -8.035 14.014
ATOMIC_POSITIONS crystal
Ca 0.334 0.666 0.884
Ca 0.999 0.001 0.305
Ca 0.001 0.999 0.695
Ca 0.666 0.334 0.116
As 0.667 0.333 0.798
As 0.333 0.667 0.202
Br 0.666 0.334 0.392
Br 0.000 0.000 0.000
Br 0.334 0.666 0.608
```

Computed properties:
symmetry = No. 12
ΔE_f (raw) = -1.527 eV/atom

---

# 15
Material: NaLa5Ag4
Method: DFT, GGA-PBE
State: optimized geometry Values from VASP.

```
&SYSTEM
  ibrav = 0, nat = 10, ntyp = 3
/
ATOMIC_SPECIES
Na 22.99 Na.upf
La 138.91 La.upf
Ag 107.87 Ag.upf
CELL_PARAMETERS angstrom
3.802 0.000 0.000
0.000 3.802 0.000
0.000 0.000 20.752
ATOMIC_POSITIONS crystal
Na 0.000 0.000 0.000
La 0.500 0.500 0.132
La 0.500 0.500 0.314
La 0.500 0.500 0.500
La 0.500 0.500 0.686
La 0.500 0.500 0.868
Ag 0.000 0.000 0.219
Ag 0.000 0.000 0.407
Ag 0.000 0.000 0.593
Ag 0.000 0.000 0.781
```

Computed properties:
symmetry = No. 123
energy relative to the elements = -152 meV/atom

---

# 16
Material: Ac2TbTc3O12
Method: DFT, GGA-PBE
State: optimized geometry Values from VASP.

```
&SYSTEM
  ibrav = 0, nat = 18, ntyp = 4
/
ATOMIC_SPECIES
Ac 227.00 Ac.upf
Tb 158.93 Tb.upf
Tc 98.00 Tc.upf
O 16.00 O.upf
CELL_PARAMETERS angstrom
6.786 -0.269 -0.191
3.118 6.034 -0.191
3.118 1.815 5.758
ATOMIC_POSITIONS crystal
Ac 0.618 0.618 0.618
Ac 0.382 0.382 0.382
Tb 0.000 0.000 0.000
Tc 0.500 0.000 0.000
Tc 0.000 0.500 0.000
Tc 0.000 0.000 0.500
O 0.277 0.277 0.877
O 0.857 0.857 0.425
O 0.425 0.857 0.857
O 0.877 0.277 0.277
O 0.857 0.425 0.857
O 0.277 0.877 0.277
O 0.723 0.723 0.123
O 0.143 0.143 0.575
O 0.575 0.143 0.143
O 0.123 0.723 0.723
O 0.143 0.575 0.143
O 0.723 0.123 0.723
```

Computed properties:
symmetry = No. 166
ΔE_f (raw) = -2.141 eV/atom

---

# 17
Material: RbB3P
Method: DFT, GGA-PBE
State: optimized geometry Values from VASP.

```
&SYSTEM
  ibrav = 0, nat = 20, ntyp = 3
/
ATOMIC_SPECIES
P 30.97 P.upf
B 10.81 B.upf
Rb 85.47 Rb.upf
CELL_PARAMETERS angstrom
8.366 0.000 0.000
0.000 4.520 0.000
-6.522 0.000 11.145
ATOMIC_POSITIONS crystal
P 0.055 0.000 0.523
P 0.055 0.500 0.023
P 0.624 0.000 0.122
P 0.624 0.500 0.622
B 0.236 0.187 0.057
B 0.236 0.813 0.057
B 0.236 0.687 0.557
B 0.236 0.313 0.557
B 0.455 0.314 0.095
B 0.455 0.686 0.095
B 0.455 0.814 0.595
B 0.455 0.186 0.595
B 0.256 0.000 0.480
B 0.256 0.500 0.980
B 0.327 0.000 0.652
B 0.327 0.500 0.152
Rb 0.544 0.000 0.371
Rb 0.544 0.500 0.871
Rb 0.973 0.000 0.764
Rb 0.973 0.500 0.264
```

Computed properties:
relative energy among the computed polymorphs = 6 meV per atom
symmetry = No. 8
energy relative to the elements = 15 meV/atom

---

# 18
Material: Tb4MgCu2
Method: DFT, GGA-PBE
State: optimized geometry Values from VASP.

```
&SYSTEM
  ibrav = 0, nat = 7, ntyp = 3
/
ATOMIC_SPECIES
Tb 158.93 Tb.upf
Mg 24.30 Mg.upf
Cu 63.55 Cu.upf
CELL_PARAMETERS angstrom
4.989 0.000 0.000
2.495 4.321 0.000
2.495 1.440 8.567
ATOMIC_POSITIONS crystal
Tb 0.708 0.708 0.877
Tb 0.884 0.884 0.349
Tb 0.292 0.292 0.123
Tb 0.116 0.116 0.651
Mg 0.500 0.500 0.500
Cu 0.598 0.598 0.206
Cu 0.402 0.402 0.794
```

Computed properties:
symmetry = No. 166
energy relative to the elements = 54 meV/atom

---

# 19
Material: PuUN4
Method: DFT, GGA-PBE
State: optimized geometry Values from VASP.

```
&SYSTEM
  ibrav = 0, nat = 6, ntyp = 3
/
ATOMIC_SPECIES
Pu 244.00 Pu.upf
U 238.03 U.upf
N 14.01 N.upf
CELL_PARAMETERS angstrom
3.711 0.184 -0.055
-0.185 3.711 -0.055
0.080 0.088 5.250
ATOMIC_POSITIONS crystal
Pu 0.500 0.000 0.000
U 0.000 0.500 0.500
N 0.500 0.500 0.250
N 0.000 0.000 0.250
N 0.000 0.000 0.750
N 0.500 0.500 0.750
```

Computed properties:
symmetry = No. 12
ΔE_f (raw) = -1.013 eV/atom

---

# 20
Material: Pu2NiS4
Method: DFT, GGA-PBE
State: optimized geometry Values from VASP.

```
&SYSTEM
  ibrav = 0, nat = 14, ntyp = 3
/
ATOMIC_SPECIES
Pu 244.00 Pu.upf
Ni 58.69 Ni.upf
S 32.06 S.upf
CELL_PARAMETERS angstrom
6.451 0.000 0.064
0.000 5.635 0.000
-2.305 0.000 7.361
ATOMIC_POSITIONS crystal
Pu 0.747 0.750 0.057
Pu 0.253 0.250 0.943
Pu 0.234 0.250 0.435
Pu 0.766 0.750 0.565
Ni 0.259 0.750 0.188
Ni 0.741 0.250 0.812
S 0.515 0.489 0.258
S 0.079 0.750 0.899
S 0.921 0.250 0.101
S 0.515 0.011 0.258
S 0.929 0.250 0.614
S 0.485 0.989 0.742
S 0.485 0.511 0.742
S 0.071 0.750 0.386
```

Computed properties:
symmetry = No. 11
ΔE_f (raw) = -1.253 eV/atom